# 1
Pr5DySc4 | GGA-PBE | relaxed

Cell lengths 3.6351, 3.6351, 23.2221 Å; angles 90.00, 90.00, 90.00 degrees
Fractional coordinates of all 10 atoms:
Pr (0.5000, 0.5000, 0.1085)
Pr (0.5000, 0.5000, 0.8915)
Dy (0.0000, 0.0000, 0.0000)
Sc (0.0000, 0.0000, 0.7931)
Sc (0.0000, 0.0000, 0.5976)
Pr (0.5000, 0.5000, 0.6952)
Sc (0.0000, 0.0000, 0.4024)
Pr (0.5000, 0.5000, 0.5000)
Sc (0.0000, 0.0000, 0.2069)
Pr (0.5000, 0.5000, 0.3048)

SG = No. 123
Raw total energy = -5.33 eV/atom
Energy of formation from the pure elements = 0.050 eV per atom
Total moment = 0.000 μB per cell


# 2
Y4Cd3Ga | GGA-PBE | relaxed

Cell lengths 3.6875, 3.6875, 14.9818 Å; angles 90.00, 90.00, 90.00 degrees
Fractional coordinates of all 8 atoms:
Cd (0.5000, 0.5000, 0.7546)
Y (0.0000, 0.0000, 0.8845)
Y (0.0000, 0.0000, 0.1155)
Cd (0.5000, 0.5000, 0.2454)
Cd (0.5000, 0.5000, 0.5000)
Y (0.0000, 0.0000, 0.6283)
Y (0.0000, 0.0000, 0.3717)
Ga (0.5000, 0.5000, 0.0000)

SG = No. 123
Raw total energy = -4.37 eV/atom
Energy of formation from the pure elements = -0.417 eV per atom
Total moment = 0.001 μB per cell


# 3
Dy5Ho5Tm | GGA-PBE | relaxed

Cell lengths 6.0118, 6.0118, 11.4502 Å; angles 90.00, 90.00, 120.00 degrees
Fractional coordinates of all 11 atoms:
Dy (0.3333, 0.6667, 0.6836)
Ho (0.3357, 0.1679, 0.5000)
Dy (0.3333, 0.6667, 0.3164)
Dy (0.6667, 0.3333, 0.8442)
Tm (0.3333, 0.6667, 0.0000)
Dy (0.0000, 0.0000, 0.0000)
Dy (0.6667, 0.3333, 0.1558)
Ho (0.8321, 0.1679, 0.5000)
Ho (0.0000, 0.0000, 0.7356)
Ho (0.8321, 0.6643, 0.5000)
Ho (0.0000, 0.0000, 0.2644)

SG = No. 187
Raw total energy = -4.25 eV/atom
Energy of formation from the pure elements = 0.334 eV per atom
Energy above the most stable polymorph in this dataset = 184 meV/atom
Total moment = 0.000 μB per cell


# 4
ZrMnSi2 | GGA-PBE | relaxed

Cell lengths 7.8802, 9.0545, 9.8667 Å; angles 90.00, 90.00, 90.00 degrees
Last column: magnetic moment on the atom in μB.
Fractional coordinates of all 48 atoms:
Si (0.0000, 0.3916, 0.8946)  -0.02
Zr (0.7467, 0.8254, 0.0486)  -0.01
Zr (0.7467, 0.6746, 0.5486)  -0.02
Mn (0.2502, 0.0836, 0.2482)  0.87
Mn (0.7498, 0.4164, 0.7482)  0.87
Zr (0.5000, 0.6680, 0.8216)  -0.07
Mn (0.7464, 0.5000, 0.0000)  1.52
Mn (0.7498, 0.5836, 0.2517)  0.86
Zr (0.5000, 0.8320, 0.3216)  -0.07
Si (0.0000, 0.0407, 0.1245)  -0.02
Mn (0.7464, 0.0000, 0.5000)  1.52
Mn (0.2536, 0.0000, 0.5000)  1.52
Si (0.0000, 0.6084, 0.1054)  -0.02
Mn (0.2502, 0.4164, 0.7482)  0.86
Zr (0.5000, 0.1680, 0.6784)  -0.07
Zr (0.2533, 0.8254, 0.0486)  -0.02
Si (0.5000, 0.9618, 0.8802)  -0.01
Si (0.1501, 0.1652, 0.6810)  -0.03
Si (0.5000, 0.4618, 0.6198)  -0.01
Si (0.5000, 0.1238, 0.3929)  -0.02
Si (0.0000, 0.4593, 0.6245)  -0.02
Si (0.5000, 0.0382, 0.1198)  -0.01
Zr (0.2533, 0.1746, 0.9514)  -0.01
Mn (0.2536, 0.5000, 0.0000)  1.52
Si (0.5000, 0.6238, 0.1071)  -0.02
Mn (0.2502, 0.5836, 0.2517)  0.87
Si (0.8499, 0.1652, 0.6810)  -0.03
Zr (0.2533, 0.3254, 0.4514)  -0.02
Si (0.0000, 0.5407, 0.3755)  -0.02
Si (0.0000, 0.8916, 0.6054)  -0.02
Zr (0.7467, 0.1746, 0.9514)  -0.02
Zr (0.7467, 0.3254, 0.4514)  -0.01
Mn (0.7498, 0.0836, 0.2482)  0.86
Si (0.1501, 0.6652, 0.8190)  -0.03
Si (0.5000, 0.5382, 0.3802)  -0.01
Zr (0.5000, 0.3320, 0.1784)  -0.07
Si (0.0000, 0.1084, 0.3946)  -0.02
Mn (0.7498, 0.9164, 0.7518)  0.87
Si (0.1501, 0.8348, 0.3190)  -0.03
Mn (0.2502, 0.9164, 0.7518)  0.86
Si (0.5000, 0.3762, 0.8929)  -0.02
Si (0.8499, 0.3348, 0.1810)  -0.03
Si (0.0000, 0.9593, 0.8755)  -0.02
Si (0.5000, 0.8762, 0.6071)  -0.02
Zr (0.2533, 0.6746, 0.5486)  -0.01
Si (0.1501, 0.3348, 0.1810)  -0.03
Si (0.8499, 0.6652, 0.8190)  -0.03
Si (0.8499, 0.8348, 0.3190)  -0.03

SG = No. 55
Raw total energy = -7.83 eV/atom
Total moment = 11.898 μB per cell


# 5
PrNd5Er3 | GGA-PBE | relaxed

Cell lengths 9.6508, 9.6508, 11.7928 Å; angles 52.86, 52.86, 74.87 degrees
Fractional coordinates of all 18 atoms:
Er (0.3183, 0.3183, 0.1751)
Er (0.6617, 0.6617, 0.3515)
Nd (0.8522, 0.3493, 0.2584)
Pr (0.8365, 0.8365, 0.4152)
Nd (0.7452, 0.2548, 0.0000)
Er (0.6817, 0.6817, 0.8249)
Nd (0.5045, 0.5045, 0.7653)
Nd (0.2548, 0.7452, 0.0000)
Nd (0.4955, 0.4955, 0.2347)
Nd (0.1751, 0.1751, 0.0520)
Er (0.3383, 0.3383, 0.6485)
Nd (0.6507, 0.1478, 0.7416)
Pr (0.1635, 0.1635, 0.5848)
Er (0.0000, 0.0000, 0.5000)
Nd (0.3493, 0.8522, 0.2584)
Nd (0.8249, 0.8249, 0.9480)
Nd (0.1478, 0.6507, 0.7416)
Er (0.0000, 0.0000, 0.0000)

SG = No. 12
Raw total energy = -4.24 eV/atom
Energy of formation from the pure elements = 0.458 eV per atom
Energy above the most stable polymorph in this dataset = 173 meV/atom
Total moment = 0.000 μB per cell


# 6
U2ReTc | GGA-PBE | relaxed

Cell lengths 3.0689, 3.0689, 9.2110 Å; angles 80.41, 80.41, 60.00 degrees
Fractional coordinates of all 4 atoms:
U (0.7494, 0.7494, 0.7519)
U (0.2506, 0.2506, 0.2481)
Tc (0.0000, 0.0000, 0.0000)
Re (0.5000, 0.5000, 0.5000)

SG = No. 166
Raw total energy = -10.99 eV/atom
Energy of formation from the pure elements = 0.358 eV per atom
Total moment = 0.002 μB per cell